Entry 1:
# Li2AlNiC, optimized geometry, DFT GGA-PBEsol
data_Li2AlNiC
_chemical_formula_sum 'Li2 Al1 Ni1 C1'
_symmetry_space_group_name_H-M 'P 4/m m m'
_symmetry_Int_Tables_number 123
_symmetry_space_group_name_Hall '-P 4 2'
_cell_length_a 4.068
_cell_length_b 4.068
_cell_length_c 3.556
_cell_angle_alpha 90.00
_cell_angle_beta 90.00
_cell_angle_gamma 90.00
loop_
_atom_site_label
_atom_site_fract_x
_atom_site_fract_y
_atom_site_fract_z
_atom_site_occupancy
Li1 0.000 0.500 0.000 1
Al1 0.000 0.000 0.500 1
Ni1 0.500 0.500 0.500 1
C1 0.500 0.500 0.000 1
# Formation enthalpy at 0 K = 68 kJ/mol of formula units
# Fermi-level density of states = 0.337 states/eV per atom

=====

Entry 2:
# Lu3AlC, optimized geometry, DFT GGA-PBEsol
data_Lu3AlC
_chemical_formula_sum 'Lu3 Al1 C1'
_symmetry_space_group_name_H-M 'P m -3 m'
_symmetry_Int_Tables_number 221
_symmetry_space_group_name_Hall '-P 4 2 3'
_cell_length_a 4.692
_cell_length_b 4.692
_cell_length_c 4.692
_cell_angle_alpha 90.00
_cell_angle_beta 90.00
_cell_angle_gamma 90.00
loop_
_atom_site_label
_atom_site_fract_x
_atom_site_fract_y
_atom_site_fract_z
_atom_site_occupancy
Lu1 0.000 0.000 0.500 1
Al1 0.500 0.500 0.500 1
C1 0.000 0.000 0.000 1
# Formation enthalpy at 0 K = -243 kJ/mol of formula units
# Fermi-level density of states = 0.151 states/eV per atom

=====

Entry 3:
# LuAl3C3, optimized geometry, DFT GGA-PBEsol
data_LuAl3C3
_chemical_formula_sum 'Lu2 Al6 C6'
_symmetry_space_group_name_H-M 'P 63/m m c'
_symmetry_Int_Tables_number 194
_symmetry_space_group_name_Hall '-P 6c 2c'
_cell_length_a 3.3830
_cell_length_b 3.3830
_cell_length_c 16.9894
_cell_angle_alpha 90.00
_cell_angle_beta 90.00
_cell_angle_gamma 120.00
loop_
_atom_site_label
_atom_site_fract_x
_atom_site_fract_y
_atom_site_fract_z
_atom_site_occupancy
Lu1 0.0000 0.0000 0.0000 1
Al1 0.3333 0.6667 0.1316 1
Al2 0.3333 0.6667 0.7500 1
C1 0.3333 0.6667 0.2500 1
C2 0.3333 0.6667 0.5895 1
# Formation enthalpy at 0 K = -253 kJ/mol of formula units
# Fermi-level density of states = 0.008 states/eV per atom

=====

Entry 4:
# Mg6AlC, optimized geometry, DFT GGA-PBEsol
data_Mg6AlC
_chemical_formula_sum 'Mg12 Al2 C2'
_symmetry_space_group_name_H-M 'A m m 2'
_symmetry_Int_Tables_number 38
_cell_length_a 3.454
_cell_length_b 8.640
_cell_length_c 10.017
_cell_angle_alpha 90.00
_cell_angle_beta 90.00
_cell_angle_gamma 90.00
loop_
_symmetry_equiv_pos_as_xyz
'x,y,z'
'-x,-y,z'
'-x,y,z'
'x,-y,z'
'x,y+1/2,z+1/2'
'-x,-y+1/2,z+1/2'
'-x,y+1/2,z+1/2'
'x,-y+1/2,z+1/2'
loop_
_atom_site_label
_atom_site_fract_x
_atom_site_fract_y
_atom_site_fract_z
_atom_site_occupancy
Mg1 0.000 0.000 0.000 1
Mg2 0.000 0.000 0.457 1
Mg3 0.000 0.165 0.741 1
Mg4 0.500 0.242 0.980 1
Al1 0.500 0.000 0.233 1
C1 0.500 0.000 0.853 1
# Formation enthalpy at 0 K = 246 kJ/mol of formula units
# Fermi-level density of states = 0.250 states/eV per atom

=====

Entry 5:
# MnAl2TeC, optimized geometry, DFT GGA-PBEsol
data_MnAl2TeC
_chemical_formula_sum 'Mn1 Al2 Te1 C1'
_symmetry_space_group_name_H-M 'P 4/m m m'
_symmetry_Int_Tables_number 123
_symmetry_space_group_name_Hall '-P 4 2'
_cell_length_a 5.278
_cell_length_b 5.278
_cell_length_c 4.822
_cell_angle_alpha 90.00
_cell_angle_beta 90.00
_cell_angle_gamma 90.00
loop_
_atom_site_label
_atom_site_fract_x
_atom_site_fract_y
_atom_site_fract_z
_atom_site_occupancy
Mn1 0.000 0.000 0.000 1
Al1 0.000 0.500 0.500 1
Te1 0.000 0.000 0.500 1
C1 0.500 0.500 0.000 1
# Fermi-level density of states = 0.701 states/eV per atom
# Uncorrected formation energy = 2.351 eV/atom

=====

Entry 6:
# Al2Mo3C, optimized geometry, DFT GGA-PBEsol
data_Al2Mo3C
_chemical_formula_sum 'Al8 Mo12 C4'
_symmetry_space_group_name_H-M 'P 41 3 2'
_symmetry_Int_Tables_number 213
_symmetry_space_group_name_Hall 'P 4bd 2ab 3'
_cell_length_a 6.819
_cell_length_b 6.819
_cell_length_c 6.819
_cell_angle_alpha 90.00
_cell_angle_beta 90.00
_cell_angle_gamma 90.00
loop_
_atom_site_label
_atom_site_fract_x
_atom_site_fract_y
_atom_site_fract_z
_atom_site_occupancy
Al1 0.066 0.066 0.066 1
Mo1 0.048 0.875 0.702 1
C1 0.125 0.625 0.875 1
# Formation enthalpy at 0 K = -121 kJ/mol of formula units
# Fermi-level density of states = 0.648 states/eV per atom